--- a ---
Compound: La2Er12Tm5
Source: Alexandria via LeMat-Bulk
Functional: PBE
Structure: optimized geometry

## Properties
* symmetry: C2/m

Cell: 9.097 9.097 8.423 Å, 90.75 90.75 60.46°
Positions (direct):
La 0.191 0.809 0.000
La 0.809 0.191 0.000
Er 0.057 0.057 0.325
Er 0.066 0.683 0.354
Er 0.159 0.521 0.753
Er 0.317 0.934 0.646
Er 0.403 0.403 0.117
Er 0.479 0.841 0.247
Er 0.521 0.159 0.753
Er 0.597 0.597 0.883
Er 0.683 0.066 0.354
Er 0.841 0.479 0.247
Er 0.934 0.317 0.646
Er 0.943 0.943 0.675
Tm 0.196 0.196 0.006
Tm 0.266 0.266 0.421
Tm 0.500 0.500 0.500
Tm 0.734 0.734 0.579
Tm 0.804 0.804 0.994

=====

--- b ---
Compound: La2Er12Tm5
Source: Alexandria via LeMat-Bulk
Functional: PBE
Structure: optimized geometry

## Properties
* symmetry: P-1

Cell: 6.110 9.344 10.582 Å, 100.94 95.52 90.10°
Positions (direct):
La 0.079 0.313 0.473
La 0.921 0.687 0.527
Er 0.027 0.104 0.155
Er 0.133 0.526 0.793
Er 0.184 0.737 0.104
Er 0.290 0.157 0.740
Er 0.395 0.580 0.365
Er 0.448 0.792 0.688
Er 0.552 0.208 0.312
Er 0.605 0.420 0.635
Er 0.710 0.843 0.260
Er 0.816 0.263 0.896
Er 0.867 0.474 0.207
Er 0.973 0.896 0.845
Tm 0.239 0.948 0.420
Tm 0.342 0.369 0.051
Tm 0.500 0.000 0.000
Tm 0.658 0.631 0.949
Tm 0.761 0.052 0.580

=====

So which one is most stable? That would be b, about 0.112 eV/atom below the next structure.

=====

--- a ---
Compound: LaEr2Tm6
Source: Alexandria via LeMat-Bulk
Functional: PBE
Structure: optimized geometry

## Properties
* symmetry: P-6m2

Cell: 3.554 3.554 25.903 Å, 90.00 90.00 120.00°
Positions (direct):
La 0.000 0.000 0.000
Er 0.333 0.667 0.330
Er 0.333 0.667 0.670
Tm 0.000 0.000 0.222
Tm 0.000 0.000 0.436
Tm 0.000 0.000 0.564
Tm 0.000 0.000 0.778
Tm 0.333 0.667 0.116
Tm 0.333 0.667 0.884

=====

--- b ---
Compound: LaEr2Tm6
Source: Alexandria via LeMat-Bulk
Functional: PBE
Structure: optimized geometry

## Properties
* symmetry: P4_2/mnm

Cell: 10.557 10.557 4.996 Å, 90.00 90.00 90.00°
Positions (direct):
La 0.000 0.000 0.000
La 0.500 0.500 0.500
Er 0.169 0.169 0.500
Er 0.331 0.669 0.000
Er 0.669 0.331 0.000
Er 0.831 0.831 0.500
Tm 0.000 0.336 0.000
Tm 0.000 0.664 0.000
Tm 0.164 0.500 0.500
Tm 0.169 0.831 0.500
Tm 0.331 0.331 0.000
Tm 0.336 0.000 0.000
Tm 0.500 0.164 0.500
Tm 0.500 0.836 0.500
Tm 0.664 0.000 0.000
Tm 0.669 0.669 0.000
Tm 0.831 0.169 0.500
Tm 0.836 0.500 0.500

=====

So which one is most stable? That would be b, about 0.025 eV/atom below the next structure.

=====

--- a ---
Compound: LaEr12Tm7
Source: Alexandria via LeMat-Bulk
Functional: PBE
Structure: optimized geometry

## Properties
* symmetry: Im-3

Cell: 9.736 9.736 9.736 Å, 109.47 109.47 109.47°
Positions (direct):
La 0.000 0.000 0.000
Er 0.001 0.737 0.264
Er 0.263 0.264 0.526
Er 0.263 0.736 0.999
Er 0.264 0.001 0.737
Er 0.264 0.526 0.263
Er 0.474 0.737 0.736
Er 0.526 0.263 0.264
Er 0.736 0.474 0.737
Er 0.736 0.999 0.263
Er 0.737 0.264 0.001
Er 0.737 0.736 0.474
Er 0.999 0.263 0.736
Tm 0.000 0.000 0.500
Tm 0.000 0.500 0.000
Tm 0.000 0.500 0.500
Tm 0.500 0.000 0.000
Tm 0.500 0.000 0.500
Tm 0.500 0.500 0.000
Tm 0.500 0.500 0.500

=====

--- b ---
Compound: LaEr12Tm7
Source: Alexandria via LeMat-Bulk
Functional: PBE
Structure: optimized geometry

## Properties
* symmetry: R-3

Cell: 8.628 8.628 8.628 Å, 87.12 87.12 87.12°
Positions (direct):
La 0.000 0.000 0.000
Er 0.106 0.346 0.434
Er 0.234 0.762 0.353
Er 0.238 0.647 0.766
Er 0.346 0.434 0.106
Er 0.353 0.234 0.762
Er 0.434 0.106 0.346
Er 0.566 0.894 0.654
Er 0.647 0.766 0.238
Er 0.654 0.566 0.894
Er 0.762 0.353 0.234
Er 0.766 0.238 0.647
Er 0.894 0.654 0.566
Tm 0.002 0.371 0.875
Tm 0.125 0.998 0.629
Tm 0.371 0.875 0.002
Tm 0.500 0.500 0.500
Tm 0.629 0.125 0.998
Tm 0.875 0.002 0.371
Tm 0.998 0.629 0.125

=====

So which one is most stable? That would be b, about 0.482 eV/atom below the next structure.